(1)
# K2PmPuO6 | Alexandria | GGA-PBE | relaxed
# Total energy   -152.62 eV for the cell shown
# Theoretical density   5.7 Mg/m³
data_K2PmPuO6
_symmetry_space_group_name_H-M 'P 1'
_symmetry_Int_Tables_number 1
_cell_length_a 6.161
_cell_length_b 6.160
_cell_length_c 8.712
_cell_angle_alpha 90.00
_cell_angle_beta 90.00
_cell_angle_gamma 90.00
loop_
_symmetry_equiv_pos_as_xyz
'x,y,z'
loop_
_atom_site_label
_atom_site_type_symbol
_atom_site_fract_x
_atom_site_fract_y
_atom_site_fract_z
K1 K 0.500 0.750 0.250
K2 K 0.000 0.250 0.750
K3 K 0.500 0.750 0.750
K4 K 0.000 0.250 0.250
Pm1 Pm 0.000 0.750 0.500
Pm2 Pm 0.500 0.250 0.000
Pu1 Pu 0.500 0.250 0.500
Pu2 Pu 0.000 0.750 0.000
O1 O 0.500 0.250 0.268
O2 O 0.500 0.250 0.732
O3 O 0.000 0.750 0.232
O4 O 0.000 0.750 0.768
O5 O 0.268 0.018 0.500
O6 O 0.732 0.018 0.500
O7 O 0.268 0.482 0.500
O8 O 0.732 0.482 0.500
O9 O 0.768 0.518 0.000
O10 O 0.232 0.518 0.000
O11 O 0.232 0.982 0.000
O12 O 0.768 0.982 0.000

(2)
# Nd2Si4Rh5 | Alexandria | GGA-PBE | relaxed
# Total energy   -78.63 eV for the cell shown
# Theoretical density   7.9 Mg/m³
data_Nd2Si4Rh5
_symmetry_space_group_name_H-M 'P 1'
_symmetry_Int_Tables_number 1
_cell_length_a 5.674
_cell_length_b 5.650
_cell_length_c 7.481
_cell_angle_alpha 79.02
_cell_angle_beta 67.71
_cell_angle_gamma 59.86
loop_
_symmetry_equiv_pos_as_xyz
'x,y,z'
loop_
_atom_site_label
_atom_site_type_symbol
_atom_site_fract_x
_atom_site_fract_y
_atom_site_fract_z
Nd1 Nd 0.868 0.000 0.264
Nd2 Nd 0.132 0.000 0.736
Si1 Si 0.479 0.306 0.736
Si2 Si 0.521 0.694 0.264
Si3 Si 0.215 0.306 0.264
Si4 Si 0.785 0.694 0.736
Rh1 Rh 0.500 0.000 0.000
Rh2 Rh 0.000 0.500 0.000
Rh3 Rh 0.500 0.500 0.000
Rh4 Rh 0.250 0.500 0.500
Rh5 Rh 0.750 0.500 0.500

(3)
# PmNd2Sc2 | Alexandria | GGA-PBE | relaxed
# Excess energy over the best structure of this formula in the dataset   0.060 eV per atom
# Total energy   -52.24 eV for the cell shown
# Energy of formation   166 meV per atom
# Theoretical density   5.6 Mg/m³
data_PmNd2Sc2
_symmetry_space_group_name_H-M 'P 1'
_symmetry_Int_Tables_number 1
_cell_length_a 6.130
_cell_length_b 7.639
_cell_length_c 7.639
_cell_angle_alpha 100.89
_cell_angle_beta 73.11
_cell_angle_gamma 73.11
loop_
_symmetry_equiv_pos_as_xyz
'x,y,z'
loop_
_atom_site_label
_atom_site_type_symbol
_atom_site_fract_x
_atom_site_fract_y
_atom_site_fract_z
Pm1 Pm 0.750 0.054 0.946
Pm2 Pm 0.250 0.946 0.054
Nd1 Nd 0.692 0.567 0.128
Nd2 Nd 0.808 0.872 0.433
Nd3 Nd 0.192 0.128 0.567
Nd4 Nd 0.308 0.433 0.872
Sc1 Sc 0.292 0.703 0.592
Sc2 Sc 0.708 0.297 0.408
Sc3 Sc 0.208 0.408 0.297
Sc4 Sc 0.792 0.592 0.703

(4)
# Nd6Si2S3Br | Alexandria | GGA-PBE | relaxed
# Total energy   -71.33 eV for the cell shown
# Theoretical density   5.8 Mg/m³
data_Nd6Si2S3Br
_symmetry_space_group_name_H-M 'P 1'
_symmetry_Int_Tables_number 1
_cell_length_a 4.161
_cell_length_b 8.448
_cell_length_c 9.328
_cell_angle_alpha 101.97
_cell_angle_beta 102.89
_cell_angle_gamma 90.00
loop_
_symmetry_equiv_pos_as_xyz
'x,y,z'
loop_
_atom_site_label
_atom_site_type_symbol
_atom_site_fract_x
_atom_site_fract_y
_atom_site_fract_z
Nd1 Nd 0.324 0.904 0.647
Nd2 Nd 0.667 0.584 0.334
Nd3 Nd 0.676 0.096 0.353
Nd4 Nd 0.004 0.279 0.008
Nd5 Nd 0.996 0.721 0.992
Nd6 Nd 0.333 0.416 0.666
Si1 Si 0.834 0.667 0.668
Si2 Si 0.166 0.333 0.332
S1 S 0.500 0.500 0.000
S2 S 0.838 0.162 0.676
S3 S 0.162 0.838 0.324
Br1 Br 0.500 0.000 0.000